Here is crystalline Nd2Mg17 at its relaxed geometry from the Open Quantum Materials Database. Energies are from PBE-GGA.

Cell: 7.814 7.814 7.814 Å, 82.20 82.20 82.20°
Element x y z (fractional)
Nd 0.171 0.171 0.171
Nd 0.829 0.829 0.829
Mg 0.000 0.500 0.500
Mg 0.148 0.148 0.660
Mg 0.148 0.660 0.148
Mg 0.198 0.500 0.802
Mg 0.198 0.802 0.500
Mg 0.340 0.852 0.852
Mg 0.401 0.401 0.401
Mg 0.500 0.000 0.500
Mg 0.500 0.198 0.802
Mg 0.500 0.500 0.000
Mg 0.500 0.802 0.198
Mg 0.599 0.599 0.599
Mg 0.660 0.148 0.148
Mg 0.802 0.198 0.500
Mg 0.802 0.500 0.198
Mg 0.852 0.340 0.852
Mg 0.852 0.852 0.340

Results
calculated total energy = -36.8 eV for the cell shown